[1]
DFT (PBE) results for crystalline Hf2NbZnN at its relaxed geometry.

E (eV per atom): -8.57
Symmetry: P4/mmm, No. 123
Formation energy (no corrections) (meV per atom): -651

a = 4.4403 Å, b = 4.4403 Å, c = 4.1743 Å
α = 90.00°, β = 90.00°, γ = 90.00°
With the nearest neighbours (Å) after each atom.
Fractional positions:
Hf: 0.0000 0.5000 0.0000  2 N 2.22
Hf: 0.5000 0.0000 0.0000  2 N 2.22
Nb: 0.0000 0.0000 0.5000  2 N 2.09
Zn: 0.5000 0.5000 0.5000  8 Hf 3.05, 4 Nb 3.14
N: 0.0000 0.0000 0.0000  2 Nb 2.09, 4 Hf 2.22

[2]
DFT (PBE) results for crystalline HfNb2ZnN at its relaxed geometry.

E (eV per atom): -8.46
Symmetry: P4/mmm, No. 123
Formation energy (no corrections) (meV per atom): -526

a = 4.2203 Å, b = 4.2203 Å, c = 4.4818 Å
α = 90.00°, β = 90.00°, γ = 90.00°
With the nearest neighbours (Å) after each atom.
Fractional positions:
Hf: 0.0000 0.0000 0.0000  2 N 2.24
Nb: 0.0000 0.5000 0.5000  2 N 2.11
Nb: 0.5000 0.0000 0.5000  2 N 2.11
Zn: 0.5000 0.5000 0.0000  4 Hf 2.98, 8 Nb 3.08
N: 0.0000 0.0000 0.5000  4 Nb 2.11, 2 Hf 2.24

[3]
DFT (PBE) results for crystalline HfZrNb2N4 at its relaxed geometry.

E (eV per atom): -10.32
Symmetry: P2/m, No. 10
Formation energy (no corrections) (meV per atom): -1330

a = 5.5165 Å, b = 3.2080 Å, c = 5.5166 Å
α = 90.00°, β = 109.56°, γ = 90.00°
With the nearest neighbours (Å) after each atom.
Fractional positions:
Hf: 0.0000 0.0000 0.0000  6 N 2.22-2.23
Zr: 0.0000 0.5000 0.5000  6 N 2.27
Nb: 0.5000 0.0000 0.5000  6 N 2.28-2.29
Nb: 0.5000 0.5000 0.0000  6 N 2.24-2.25
N: 0.2439 0.5000 0.2413  2 Hf 2.23, 3 Nb 2.24-2.29, 1 Zr 2.27
N: 0.2485 0.0000 0.7555  1 Hf 2.22, 3 Nb 2.25-2.28, 2 Zr 2.27
N: 0.7515 0.0000 0.2445  1 Hf 2.22, 3 Nb 2.25-2.28, 2 Zr 2.27
N: 0.7561 0.5000 0.7587  2 Hf 2.23, 3 Nb 2.24-2.29, 1 Zr 2.27

[4]
DFT (PBE) results for crystalline Hf3Zr2NbN6 at its relaxed geometry.

E (eV per atom): -10.53
Symmetry: C2/m, No. 12
Formation energy (no corrections) (meV per atom): -1618

a = 5.5588 Å, b = 5.5588 Å, c = 5.6007 Å
α = 99.53°, β = 99.53°, γ = 119.95°
With the nearest neighbours (Å) after each atom.
Fractional positions:
Hf: 0.0000 0.0000 0.0000  6 N 2.23-2.24
Hf: 0.3352 0.6648 0.0000  6 N 2.23-2.24
Hf: 0.6648 0.3352 0.0000  6 N 2.23-2.24
Zr: 0.1665 0.8335 0.5000  6 N 2.31
Zr: 0.8335 0.1665 0.5000  6 N 2.31
Nb: 0.5000 0.5000 0.5000  6 N 2.33
N: 0.0766 0.4122 0.2365  3 Hf 2.24, 2 Zr 2.31, 1 Nb 2.33
N: 0.2526 0.2526 0.7636  3 Hf 2.23, 2 Zr 2.31, 1 Nb 2.33
N: 0.4122 0.0766 0.2365  3 Hf 2.24, 2 Zr 2.31, 1 Nb 2.33
N: 0.5878 0.9234 0.7635  3 Hf 2.24, 2 Zr 2.31, 1 Nb 2.33
N: 0.7474 0.7474 0.2364  3 Hf 2.23, 2 Zr 2.31, 1 Nb 2.33
N: 0.9234 0.5878 0.7635  3 Hf 2.24, 2 Zr 2.31, 1 Nb 2.33

[5]
DFT (PBE) results for crystalline HfZr3Nb3N8 at its relaxed geometry.

E (eV per atom): -10.14
Symmetry: R-3m, No. 166
Formation energy (no corrections) (meV per atom): -1314

a = 6.3946 Å, b = 6.3946 Å, c = 6.3946 Å
α = 59.32°, β = 59.32°, γ = 59.32°
With the nearest neighbours (Å) after each atom.
Fractional positions:
Hf: 0.0000 0.0000 0.0000  6 N 2.19
Zr: 0.0000 0.0000 0.5000  6 N 2.26-2.27
Zr: 0.0000 0.5000 0.0000  6 N 2.26-2.27
Zr: 0.5000 0.0000 0.0000  6 N 2.26-2.27
Nb: 0.0000 0.5000 0.5000  6 N 2.23-2.24
Nb: 0.5000 0.0000 0.5000  6 N 2.23-2.24
Nb: 0.5000 0.5000 0.0000  6 N 2.23-2.24
N: 0.2434 0.2434 0.7518  1 Hf 2.19, 2 Nb 2.23, 2 Zr 2.27
N: 0.2434 0.7518 0.2434  1 Hf 2.19, 2 Nb 2.23, 2 Zr 2.27
N: 0.2482 0.7566 0.7566  1 Hf 2.19, 2 Nb 2.23, 2 Zr 2.27
N: 0.2510 0.2510 0.2510  3 Nb 2.24, 3 Zr 2.26
N: 0.7490 0.7490 0.7490  3 Nb 2.24, 3 Zr 2.26
N: 0.7518 0.2434 0.2434  1 Hf 2.19, 2 Nb 2.23, 2 Zr 2.27
N: 0.7566 0.2482 0.7566  1 Hf 2.19, 2 Nb 2.23, 2 Zr 2.27
N: 0.7566 0.7566 0.2482  1 Hf 2.19, 2 Nb 2.23, 2 Zr 2.27

[6]
DFT (PBE) results for crystalline Hf2ZrNbN at its relaxed geometry.

E (eV per atom): -10.07
Symmetry: P4/mmm, No. 123
Formation energy (no corrections) (meV per atom): -702

a = 4.4297 Å, b = 4.4297 Å, c = 4.5645 Å
α = 90.00°, β = 90.00°, γ = 90.00°
With the nearest neighbours (Å) after each atom.
Fractional positions:
Hf: 0.0000 0.5000 0.0000  2 N 2.21
Hf: 0.5000 0.0000 0.0000  2 N 2.21
Zr: 0.0000 0.0000 0.5000  2 N 2.28
Nb: 0.5000 0.5000 0.5000  4 Zr 3.13, 8 Hf 3.18
N: 0.0000 0.0000 0.0000  4 Hf 2.21, 2 Zr 2.28